The following is a GGA-PBE calculation of a geometry-optimized AlCuNiIr structure, from Alexandria via LeMat-Bulk.

Properties
- calculated total energy (eV for the cell shown) = -24.07
- magnetic moment (μB per formula unit) = 0.00
- V (Å³ per atom) = 12.73

Cell: 4.1603 4.1603 4.1603 Å, 60.00 60.00 60.00°
With the nearest neighbours (Å) after each atom.
Fractional positions:
Ni: 0.5000 0.5000 0.5000  4 Al 2.55, 4 Cu 2.55
Al: 0.7500 0.7500 0.7500  4 Ir 2.55, 4 Ni 2.55
Ir: 0.0000 0.0000 0.0000  4 Cu 2.55, 4 Al 2.55
Cu: 0.2500 0.2500 0.2500  4 Ni 2.55, 4 Ir 2.55